Crystalline CaLaTeN2 at its relaxed geometry, computed with PBEsol.

a = 4.333 Å, b = 4.333 Å, c = 6.516 Å
α = 90.00°, β = 90.00°, γ = 90.00°
Fractional positions:
N 0.000 0.500 0.000
N 0.500 0.000 0.000
Ca 0.500 0.500 0.500
Te 0.000 0.000 0.500
La 0.000 0.000 0.000

Summary:
The spin magnetization is 0.0002 μB per atom. As for the energy: -5.65 eV/atom. The crystal system is tetragonal. The calculation puts the uncorrected formation energy at -0.99 kcal/mol of atoms.